(1)
Y2MgAl | GGA-PBE | optimized geometry

Calculated values
space group: C2/m (12)
energy of formation from the pure elements: -78.7 meV/atom
M_tot: 0.000 μB per atom
DOS at the Fermi energy: 2.33 states/eV per cell
VASP energy: -0.17070 Ha/atom
ΔE to the lowest computed polymorph: 224 meV/atom

Cell and atoms, written as POSCAR:
```
Y2MgAl
1.0
5.300 -0.006 0.006
4.092 3.369 0.006
1.205 0.432 6.080
Y Mg Al
2 1 1
direct
0.008 0.008 0.985
0.492 0.492 0.515
0.250 0.250 0.250
0.750 0.750 0.750
```

(2)
La3ErHg | GGA-PBE | optimized geometry

Calculated values
space group: P2_1/m (11)
energy of formation from the pure elements: 96.2 meV/atom
M_tot: 0.000 μB per atom
DOS at the Fermi energy: 15.99 states/eV per cell
VASP energy: -0.14087 Ha/atom
ΔE to the lowest computed polymorph: 181 meV/atom

Cell and atoms, written as POSCAR:
```
La3ErHg
1.0
3.561 -0.005 0.000
-1.787 9.103 0.000
0.000 0.000 11.378
Hg Er La
2 2 6
direct
0.628 0.759 0.250
0.372 0.241 0.750
0.788 0.077 0.250
0.212 0.923 0.750
0.545 0.593 0.750
0.107 0.716 0.483
0.455 0.407 0.250
0.893 0.284 0.983
0.107 0.716 0.017
0.893 0.284 0.517
```

(3)
LiPRu | GGA-PBE | optimized geometry

Calculated values
space group: P3m1 (156)
energy of formation from the pure elements: -171.5 meV/atom
M_tot: 0.000 μB per atom
DOS at the Fermi energy: 2.53 states/eV per cell
VASP energy: -0.20964 Ha/atom

Cell and atoms, written as POSCAR:
```
LiPRu
1.0
2.967 0.000 0.000
-1.484 2.570 0.000
0.000 0.000 5.896
Li P Ru
1 1 1
direct
0.000 0.000 0.008
0.333 0.667 0.366
0.667 0.333 0.626
```

(4)
TmAlCu3 | GGA-PBE | optimized geometry

Calculated values
space group: Imma (74)
energy of formation from the pure elements: -212.6 meV/atom
M_tot: 0.000 μB per atom
DOS at the Fermi energy: 4.46 states/eV per cell
VASP energy: -0.15850 Ha/atom
ΔE to the lowest computed polymorph: 12 meV/atom

Cell and atoms, written as POSCAR:
```
TmAlCu3
1.0
4.433 0.000 -2.451
-2.502 7.580 -4.525
0.424 -1.831 6.002
Al Tm Cu
2 2 6
direct
0.500 0.000 0.000
0.000 0.500 0.000
0.250 0.242 0.500
0.750 0.758 0.500
0.250 0.936 0.500
0.750 0.064 0.500
0.690 0.690 0.881
0.810 0.310 0.119
0.310 0.310 0.119
0.190 0.690 0.881
```

(5)
Ca2ZrBr | GGA-PBE | optimized geometry

Calculated values
space group: C2/m (12)
M_tot: 0.332 μB per atom
DOS at the Fermi energy: 4.81 states/eV per cell
VASP energy: -0.13280 Ha/atom
formation energy without anion corrections: -58 meV per atom
ΔE to the lowest computed polymorph: 416 meV/atom

Cell and atoms, written as POSCAR:
```
Ca2ZrBr
1.0
-1.662 0.791 -6.268
-4.301 -1.052 -4.803
-4.003 4.565 -1.467
Ca Zr Br
2 1 1
direct
0.532 0.532 0.468
0.968 0.968 0.032
0.750 0.750 0.750
0.250 0.250 0.250
```

(6)
Mg2BeSnB | GGA-PBE | optimized geometry

Calculated values
space group: P4/mmm (123)
energy of formation from the pure elements: 1372.1 meV/atom
M_tot: 0.000 μB per atom
DOS at the Fermi energy: 3.53 states/eV per cell
VASP energy: -0.07890 Ha/atom

Cell and atoms, written as POSCAR:
```
Mg2BeSnB
1.0
-4.366 0.971 -3.228
1.795 -2.258 -3.107
-2.431 -4.567 1.914
Sn Be B Mg
1 1 1 2
direct
0.000 0.000 0.000
0.500 0.500 0.500
0.000 0.500 0.000
0.000 0.000 0.500
0.500 0.000 0.000
```